The following is a DFT calculation (GGA-PBEsol) of a relaxed structure of ZnC.

extended XYZ file:
```
8
Lattice="2.4818 0.0000 0.0000 -1.2409 2.1493 0.0000 0.0000 0.0000 20.5707" Properties=species:S:1:pos:R:3 pbc="T T T"
Zn 0.0000 1.4329 1.2899
Zn 0.0000 1.4329 8.9955
Zn 1.2409 0.7164 11.5753
Zn 1.2409 0.7164 19.2808
C 0.0000 0.0000 5.1427
C 0.0000 0.0000 15.4280
C 0.0000 1.4329 15.4280
C 1.2409 0.7164 5.1427
```

Calculated values
Formation enthalpy at 0 K   18 kJ/mol of formula units
Final energy   -5.52 eV per atom
E above lowest polymorph   3 meV/atom
V   109.7 Å³/cell

---

The following is a DFT calculation (GGA-PBEsol) of a relaxed structure of ZnC.

extended XYZ file:
```
8
Lattice="4.3367 0.0000 0.0000 0.0000 4.3367 0.0000 0.0000 0.0000 4.3367" Properties=species:S:1:pos:R:3 pbc="T T T"
Zn 0.0000 0.0000 0.0000
Zn 0.0000 2.1684 2.1684
Zn 2.1684 0.0000 2.1684
Zn 2.1684 2.1684 0.0000
C 0.0000 0.0000 2.1684
C 0.0000 2.1684 0.0000
C 2.1684 0.0000 0.0000
C 2.1684 2.1684 2.1684
```

Calculated values
Formation enthalpy at 0 K   310 kJ/mol of formula units
Final energy   -4.01 eV per atom
E above lowest polymorph   1517 meV/atom
V   81.6 Å³/cell

---

The following is a DFT calculation (GGA-PBEsol) of a relaxed structure of ZnC.

extended XYZ file:
```
4
Lattice="4.8488 0.0000 0.0000 0.0000 2.6789 0.0000 0.0000 0.0000 3.2882" Properties=species:S:1:pos:R:3 pbc="T T T"
Zn 1.2122 0.0000 0.5486
Zn 3.6366 0.0000 2.7396
C 1.2122 1.3394 2.1481
C 3.6366 1.3394 1.1401
```

Calculated values
Formation enthalpy at 0 K   343 kJ/mol of formula units
Final energy   -3.83 eV per atom
E above lowest polymorph   1690 meV/atom
V   42.7 Å³/cell

---

The following is a DFT calculation (GGA-PBEsol) of a relaxed structure of Zn3C4.

extended XYZ file:
```
7
Lattice="4.1761 0.0000 0.0000 0.0000 4.1761 0.0000 0.0000 0.0000 4.1761" Properties=species:S:1:pos:R:3 pbc="T T T"
Zn 0.0000 0.0000 2.0881
Zn 0.0000 2.0881 0.0000
Zn 2.0881 0.0000 0.0000
C 1.5313 1.5313 1.5313
C 1.5313 2.6449 2.6449
C 2.6449 1.5313 2.6449
C 2.6449 2.6449 1.5313
```

Calculated values
Formation enthalpy at 0 K   962 kJ/mol of formula units
Final energy   -4.76 eV per atom
E above lowest polymorph   0 meV/atom
V   72.8 Å³/cell

---

The following is a DFT calculation (GGA-PBEsol) of a relaxed structure of ZnC2.

extended XYZ file:
```
3
Lattice="3.1429 0.0000 0.0000 -1.5715 2.7218 0.0000 0.0000 0.0000 3.8261" Properties=species:S:1:pos:R:3 pbc="T T T"
Zn 0.0000 0.0000 0.0000
C 0.0000 1.8146 1.2742
C 0.0000 1.8146 2.5519
```

Calculated values
Formation enthalpy at 0 K   429 kJ/mol of formula units
Final energy   -5.48 eV per atom
E above lowest polymorph   477 meV/atom
V   32.7 Å³/cell

---

The following is a DFT calculation (GGA-PBEsol) of a relaxed structure of ZnC.

extended XYZ file:
```
4
Lattice="3.3526 0.0000 0.0000 -1.6763 2.9035 0.0000 0.0000 0.0000 4.1757" Properties=species:S:1:pos:R:3 pbc="T T T"
Zn 0.0000 1.9356 1.0439
Zn 1.6763 0.9678 3.1318
C 0.0000 0.0000 0.0000
C 0.0000 0.0000 2.0878
```

Calculated values
Formation enthalpy at 0 K   274 kJ/mol of formula units
Final energy   -4.19 eV per atom
E above lowest polymorph   1329 meV/atom
V   40.6 Å³/cell

---

The following is a DFT calculation (GGA-PBEsol) of a relaxed structure of ZnC.

extended XYZ file:
```
8
Lattice="2.6986 0.0000 0.0000 0.0000 9.5460 0.0000 0.0000 0.0000 3.2775" Properties=species:S:1:pos:R:3 pbc="T T T"
Zn 0.0000 1.2348 0.8194
Zn 0.0000 8.3112 2.4581
Zn 1.3493 3.5382 2.4581
Zn 1.3493 6.0079 0.8194
C 0.0000 3.5023 0.8194
C 0.0000 6.0438 2.4581
C 1.3493 1.2707 2.4581
C 1.3493 8.2753 0.8194
```

Calculated values
Formation enthalpy at 0 K   333 kJ/mol of formula units
Final energy   -3.89 eV per atom
E above lowest polymorph   1638 meV/atom
V   84.4 Å³/cell

---

The following is a DFT calculation (GGA-PBEsol) of a relaxed structure of ZnC2.

extended XYZ file:
```
6
Lattice="0.0000 2.9936 2.9936 2.9936 0.0000 2.9936 2.9936 2.9936 0.0000" Properties=species:S:1:pos:R:3 pbc="T T T"
Zn 0.7484 0.7484 0.7484
Zn 5.2389 5.2389 5.2389
C 2.9936 1.4968 1.4968
C 1.4968 2.9936 1.4968
C 1.4968 1.4968 2.9936
C 2.9936 2.9936 2.9936
```

Calculated values
Formation enthalpy at 0 K   795 kJ/mol of formula units
Final energy   -4.21 eV per atom
E above lowest polymorph   1741 meV/atom
V   53.7 Å³/cell

---

The following is a DFT calculation (GGA-PBEsol) of a relaxed structure of ZnC7.

extended XYZ file:
```
8
Lattice="0.0000 3.1622 3.1622 3.1622 0.0000 3.1622 3.1622 3.1622 0.0000" Properties=species:S:1:pos:R:3 pbc="T T T"
Zn 0.0000 0.0000 0.0000
C 1.5811 1.5811 0.0000
C 1.5811 0.0000 1.5811
C 3.1622 1.5811 1.5811
C 0.0000 1.5811 1.5811
C 1.5811 3.1622 1.5811
C 1.5811 1.5811 3.1622
C 3.1622 3.1622 3.1622
```

Calculated values
Formation enthalpy at 0 K   2975 kJ/mol of formula units
Final energy   -4.78 eV per atom
V   63.2 Å³/cell

---

The following is a DFT calculation (GGA-PBEsol) of a relaxed structure of ZnC2.

extended XYZ file:
```
6
Lattice="2.9124 0.0000 0.0000 0.0000 2.9124 0.0000 0.0000 0.0000 7.1268" Properties=species:S:1:pos:R:3 pbc="T T T"
Zn 0.7281 0.7281 0.7774
Zn 2.1843 2.1843 6.3494
C 0.7281 0.7281 2.7931
C 0.7281 2.1843 3.5634
C 2.1843 0.7281 3.5634
C 2.1843 2.1843 4.3337
```

Calculated values
Formation enthalpy at 0 K   393 kJ/mol of formula units
Final energy   -5.60 eV per atom
E above lowest polymorph   354 meV/atom
V   60.5 Å³/cell

---

The following is a DFT calculation (GGA-PBEsol) of a relaxed structure of ZnC2.

extended XYZ file:
```
12
Lattice="2.5218 0.0000 0.0000 0.0000 21.4560 0.0000 0.0000 0.0000 2.5194" Properties=species:S:1:pos:R:3 pbc="T T T"
Zn 0.0000 3.2729 0.6298
Zn 0.0000 18.1831 1.8895
Zn 1.2609 7.4551 1.8895
Zn 1.2609 14.0009 0.6298
C 0.0000 5.3642 1.8895
C 0.0000 10.6524 1.8895
C 0.0000 10.8036 0.6298
C 0.0000 16.0918 0.6298
C 1.2609 0.0756 0.6298
C 1.2609 5.3638 0.6298
C 1.2609 16.0922 1.8895
C 1.2609 21.3804 1.8895
```

Calculated values
Formation enthalpy at 0 K   424 kJ/mol of formula units
Final energy   -5.49 eV per atom
E above lowest polymorph   460 meV/atom
V   136.3 Å³/cell

---

The following is a DFT calculation (GGA-PBEsol) of a relaxed structure of ZnC.

extended XYZ file:
```
12
Lattice="2.4817 0.0000 0.0000 -1.2408 2.1492 0.0000 0.0000 0.0000 30.8056" Properties=species:S:1:pos:R:3 pbc="T T T"
Zn 0.0000 0.0000 3.8427
Zn 0.0000 0.0000 26.9630
Zn 0.0000 1.4328 16.6944
Zn 0.0000 1.4328 24.3797
Zn 1.2408 0.7164 6.4259
Zn 1.2408 0.7164 14.1112
C 0.0000 0.0000 10.2686
C 0.0000 0.0000 20.5371
C 0.0000 1.4328 0.0000
C 0.0000 1.4328 10.2685
C 1.2408 0.7164 30.8056
C 1.2408 0.7164 20.5371
```

Calculated values
Formation enthalpy at 0 K   18 kJ/mol of formula units
Final energy   -5.52 eV per atom
E above lowest polymorph   3 meV/atom
V   164.3 Å³/cell

---

The following is a DFT calculation (GGA-PBEsol) of a relaxed structure of Zn2C.

extended XYZ file:
```
12
Lattice="10.4648 0.0000 0.0000 0.0000 2.6236 0.0000 -4.6124 0.0000 5.5806" Properties=species:S:1:pos:R:3 pbc="T T T"
Zn -0.2829 0.0000 1.7701
Zn -1.3782 0.0000 4.4511
Zn 1.9982 1.3118 1.1295
Zn 0.9029 1.3118 3.8105
Zn 4.9495 1.3118 1.7701
Zn 3.8542 1.3118 4.4511
Zn 7.2306 0.0000 1.1295
Zn 6.1353 0.0000 3.8105
C -3.0205 1.3118 4.6609
C 3.6405 0.0000 0.9197
C 2.2119 0.0000 4.6609
C 8.8729 1.3118 0.9197
```

Calculated values
Formation enthalpy at 0 K   302 kJ/mol of formula units
Final energy   -3.22 eV per atom
E above lowest polymorph   410 meV/atom
V   153.2 Å³/cell

---

The following is a DFT calculation (GGA-PBEsol) of a relaxed structure of ZnC.

extended XYZ file:
```
4
Lattice="3.1262 0.0000 0.0000 -1.5631 2.7074 0.0000 0.0000 0.0000 4.9247" Properties=species:S:1:pos:R:3 pbc="T T T"
Zn 0.0000 0.0000 0.0000
Zn 0.0000 0.0000 2.4623
C 0.0000 1.8049 1.2312
C 1.5631 0.9025 3.6935
```

Calculated values
Formation enthalpy at 0 K   320 kJ/mol of formula units
Final energy   -3.96 eV per atom
E above lowest polymorph   1568 meV/atom
V   41.7 Å³/cell

---

The following is a DFT calculation (GGA-PBEsol) of a relaxed structure of Zn2C.

extended XYZ file:
```
12
Lattice="5.1381 0.0000 0.0000 0.0000 5.1381 0.0000 0.0000 0.0000 5.1381" Properties=species:S:1:pos:R:3 pbc="T T T"
Zn 1.2845 1.2845 1.2845
Zn 1.2845 1.2845 3.8536
Zn 1.2845 3.8536 1.2845
Zn 1.2845 3.8536 3.8536
Zn 3.8536 1.2845 1.2845
Zn 3.8536 1.2845 3.8536
Zn 3.8536 3.8536 1.2845
Zn 3.8536 3.8536 3.8536
C 0.0000 0.0000 0.0000
C 0.0000 2.5691 2.5691
C 2.5691 0.0000 2.5691
C 2.5691 2.5691 0.0000
```

Calculated values
Formation enthalpy at 0 K   196 kJ/mol of formula units
Final energy   -3.59 eV per atom
E above lowest polymorph   42 meV/atom
V   135.6 Å³/cell

---

The following is a DFT calculation (GGA-PBEsol) of a relaxed structure of ZnC.

extended XYZ file:
```
4
Lattice="2.4821 0.0000 0.0000 -1.2411 2.1496 0.0000 0.0000 0.0000 9.9573" Properties=species:S:1:pos:R:3 pbc="T T T"
Zn 0.0000 1.4331 1.2927
Zn 1.2411 0.7165 8.6646
C 0.0000 1.4331 4.9787
C 1.2411 0.7165 4.9787
```

Calculated values
Formation enthalpy at 0 K   17 kJ/mol of formula units
Final energy   -5.52 eV per atom
E above lowest polymorph   0 meV/atom
V   53.1 Å³/cell

---

The following is a DFT calculation (GGA-PBEsol) of a relaxed structure of Zn3C4.

extended XYZ file:
```
7
Lattice="4.2384 0.0000 0.0000 0.0000 4.2384 0.0000 0.0000 0.0000 4.2384" Properties=species:S:1:pos:R:3 pbc="T T T"
Zn 0.0000 0.0000 2.1192
Zn 0.0000 2.1192 0.0000
Zn 2.1192 0.0000 0.0000
C 0.0000 0.0000 0.0000
C 0.0000 2.1192 2.1192
C 2.1192 0.0000 2.1192
C 2.1192 2.1192 0.0000
```

Calculated values
Formation enthalpy at 0 K   1518 kJ/mol of formula units
Final energy   -3.94 eV per atom
E above lowest polymorph   824 meV/atom
V   76.1 Å³/cell

---

The following is a DFT calculation (GGA-PBEsol) of a relaxed structure of ZnC2.

extended XYZ file:
```
6
Lattice="4.0002 0.0000 0.0000 0.0000 4.0002 0.0000 0.0000 0.0000 5.0384" Properties=species:S:1:pos:R:3 pbc="T T T"
Zn 0.0000 0.0000 0.0000
Zn 2.0001 2.0001 2.5192
C 0.0000 0.0000 1.8967
C 0.0000 0.0000 3.1418
C 2.0001 2.0001 0.6225
C 2.0001 2.0001 4.4159
```

Calculated values
Formation enthalpy at 0 K   291 kJ/mol of formula units
Final energy   -5.95 eV per atom
E above lowest polymorph   0 meV/atom
V   80.6 Å³/cell

---

The following is a DFT calculation (GGA-PBEsol) of a relaxed structure of Zr3ZnC.

extended XYZ file:
```
5
Lattice="4.4720 0.0000 0.0000 0.0000 4.4720 0.0000 0.0000 0.0000 4.4720" Properties=species:S:1:pos:R:3 pbc="T T T"
Zr 0.0000 0.0000 2.2360
Zr 0.0000 2.2360 0.0000
Zr 2.2360 0.0000 0.0000
Zn 2.2360 2.2360 2.2360
C 0.0000 0.0000 0.0000
```

Calculated values
Formation enthalpy at 0 K   -217 kJ/mol of formula units
Final energy   -8.15 eV per atom
V   89.4 Å³/cell

---

The following is a DFT calculation (GGA-PBEsol) of a relaxed structure of Zr2C.

extended XYZ file:
```
9
Lattice="3.3041 0.0000 0.0000 -1.6520 2.8614 0.0000 0.0000 0.0000 15.9966" Properties=species:S:1:pos:R:3 pbc="T T T"
Zr 0.0000 0.0000 3.9169
Zr 0.0000 0.0000 12.0798
Zr 0.0000 1.9076 6.7476
Zr 0.0000 1.9076 14.5813
Zr 1.6520 0.9538 1.4154
Zr 1.6520 0.9538 9.2491
C 0.0000 0.0000 7.9983
C 0.0000 1.9076 2.6661
C 1.6520 0.9538 13.3305
```

Calculated values
Formation enthalpy at 0 K   -196 kJ/mol of formula units
Final energy   -9.95 eV per atom
V   151.2 Å³/cell